1.
# SmTm2NpAs4

An optimized crystal structure of SmTm2NpAs4 (GGA-PBE, Alexandria).

Results
**Space-group type**: P2/m, No. 10
**DFT total energy**: -6.941 eV/atom
**ΔE_f**: -1.291 eV per atom
**Fermi-level density of states**: 11.43 states/eV/cell

Cell: 7.1104 4.1070 7.1253 Å, 90.00 109.35 90.00°
With the nearest neighbours (Å) after each atom.
Element x y z (fractional)
Sm  0.0000  0.0000  0.0000  6 As 2.94-2.95
Tm  0.5000  0.0000  0.5000  6 As 2.87
Tm  0.5000  0.5000  0.0000  6 As 2.90-2.91
Np  0.0000  0.5000  0.5000  6 As 2.90-2.91
As  0.2544  0.0000  0.7478  3 Tm 2.87-2.90, 2 Np 2.91, 1 Sm 2.94
As  0.2559  0.5000  0.2571  3 Tm 2.87-2.91, 1 Np 2.90, 2 Sm 2.95
As  0.7441  0.5000  0.7429  3 Tm 2.87-2.91, 1 Np 2.90, 2 Sm 2.95
As  0.7456  0.0000  0.2522  3 Tm 2.87-2.90, 2 Np 2.91, 1 Sm 2.94

---

2.
# Tc3Ni5

An optimized crystal structure of Tc3Ni5 (GGA-PBE, Alexandria).

Results
**Energy relative to the lowest polymorph listed for this composition**: 0.065 eV per atom
**Space-group type**: Cmmm, No. 65
**DFT total energy**: -7.430 eV/atom
**ΔE_f**: 0.071 eV per atom
**Fermi-level density of states**: 11.85 states/eV/cell

Cell: 5.2199 5.2199 3.6092 Å, 90.00 90.00 91.29°
With the nearest neighbours (Å) after each atom.
Element x y z (fractional)
Tc  0.0000  0.0000  0.0000  4 Tc 2.57, 8 Ni 2.61-2.62
Tc  0.2506  0.2506  0.5000  10 Ni 2.56-2.64, 2 Tc 2.57
Tc  0.7494  0.7494  0.5000  10 Ni 2.56-2.64, 2 Tc 2.57
Ni  0.0000  0.5000  0.0000  6 Ni 2.57-2.61, 6 Tc 2.60-2.61
Ni  0.2544  0.7456  0.5000  6 Ni 2.57, 6 Tc 2.58-2.64
Ni  0.5000  0.0000  0.0000  6 Ni 2.57-2.61, 6 Tc 2.60-2.61
Ni  0.5000  0.5000  0.0000  4 Tc 2.56, 8 Ni 2.57-2.61
Ni  0.7456  0.2544  0.5000  6 Ni 2.57, 6 Tc 2.58-2.64

---

3.
# ErTmNi

An optimized crystal structure of ErTmNi (GGA-PBE, Alexandria).

Results
**Energy relative to the lowest polymorph listed for this composition**: 0.000 eV per atom
**Space-group type**: C2/m, No. 12
**DFT total energy**: -5.260 eV/atom
**ΔE_f**: -0.321 eV per atom
**Fermi-level density of states**: 6.87 states/eV/cell

Cell: 7.0196 7.0196 5.5872 Å, 100.17 100.17 31.77°
With the nearest neighbours (Å) after each atom.
Element x y z (fractional)
Er  0.0818  0.0818  0.2840  3 Ni 2.76-2.92
Er  0.9182  0.9182  0.7160  3 Ni 2.76-2.92
Tm  0.3450  0.3450  0.1817  4 Ni 2.76-3.01
Tm  0.6550  0.6550  0.8183  4 Ni 2.76-3.01
Ni  0.2689  0.2689  0.6404  2 Ni 2.47, 2 Tm 2.76, 2 Er 2.76
Ni  0.7311  0.7311  0.3596  2 Ni 2.47, 2 Tm 2.76, 2 Er 2.76

---

4.
# Tl2ReCl

An optimized crystal structure of Tl2ReCl (GGA-PBE, Alexandria).

Results
**Energy relative to the lowest polymorph listed for this composition**: 0.066 eV per atom
**Space-group type**: Cmm2, No. 35
**DFT total energy**: -4.212 eV/atom
**Fermi-level density of states**: 3.38 states/eV/cell

Cell: 3.2377 3.2377 10.6128 Å, 90.00 90.00 122.80°
With the nearest neighbours (Å) after each atom.
Element x y z (fractional)
Tl  0.0000  0.0000  0.0000  2 Re 2.91, 6 Tl 3.10-3.24
Tl  0.5000  0.5000  0.2794  8 Tl 3.10-3.35
Re  0.5000  0.5000  0.7682  2 Cl 2.38
Cl  0.0000  0.0000  0.5985  2 Re 2.38

---

5.
# Cs2NaSrBr5

An optimized crystal structure of Cs2NaSrBr5 (GGA-PBE, Alexandria).

Results
**Space-group type**: Cmc2_1, No. 36
**DFT total energy**: -3.299 eV/atom
**Fermi-level density of states**: 0.00 states/eV/cell

Cell: 10.4925 10.4925 15.5586 Å, 90.00 90.00 153.84°
With the nearest neighbours (Å) after each atom.
Element x y z (fractional)
Cs  0.0957  0.9043  0.5000  6 Br 3.59-3.77
Cs  0.1339  0.8661  0.1390  7 Br 3.61-3.85
Cs  0.8661  0.1339  0.6390  7 Br 3.61-3.85
Cs  0.9043  0.0957  0.0000  6 Br 3.59-3.77
Na  0.4516  0.5484  0.2830  4 Br 2.78-3.05
Na  0.5484  0.4516  0.7830  4 Br 2.78-3.05
Sr  0.2143  0.7857  0.8540  6 Br 3.03-3.13
Sr  0.7857  0.2143  0.3540  6 Br 3.03-3.13
Br  0.0653  0.9347  0.8820  2 Na 2.85, 1 Sr 3.08
Br  0.2759  0.7241  0.4848  2 Sr 3.13
Br  0.3085  0.6915  0.2272  1 Na 3.05, 2 Sr 3.12
Br  0.3610  0.6390  0.8267  1 Sr 3.03
Br  0.4982  0.5018  0.6166  1 Na 2.78
Br  0.5018  0.4982  0.1166  1 Na 2.78
Br  0.6390  0.3610  0.3267  1 Sr 3.03
Br  0.6915  0.3085  0.7272  1 Na 3.05, 2 Sr 3.12
Br  0.7241  0.2759  0.9848  2 Sr 3.13
Br  0.9347  0.0653  0.3820  2 Na 2.85, 1 Sr 3.08

---

6.
# BaHgAs2

An optimized crystal structure of BaHgAs2 (GGA-PBE, Alexandria).

Results
**Space-group type**: P4mm, No. 99
**DFT total energy**: -3.199 eV/atom
**ΔE_f**: -0.318 eV per atom
**Fermi-level density of states**: 0.91 states/eV/cell

Cell: 3.8659 3.8659 7.3785 Å, 90.00 90.00 90.00°
With the nearest neighbours (Å) after each atom.
Element x y z (fractional)
Ba  0.0000  0.0000  0.0000  1 As 3.15
Hg  0.5000  0.5000  0.3036  1 As 2.82
As  0.0000  0.0000  0.5736  4 As 2.86, 1 Ba 3.15
As  0.5000  0.5000  0.6857  1 Hg 2.82, 4 As 2.86